1.
Density functional theory data (PBE-GGA) for a geometry-optimized La2Hg2Rh4C structure.

## Properties
energy relative to the elements = -1.535 eV per formula unit
total moment = 0.00 μB per cell
energy = -5.625 eV/atom

abc: 6.2186 6.2186 8.7937
angles: 90.00 90.00 90.00
With the nearest neighbours (Å) after each atom.
Space group I4/mmm (No. 139)
One atom of each set of equivalent atoms:
La: 0.0000 0.0000 0.2107 x4  1 C 2.54
Hg: 0.0000 0.5000 0.2500 x4  8 Rh 3.11, 4 La 3.13
Rh: 0.2362 0.2362 0.5000 x8  1 C 2.08
C: 0.0000 0.0000 0.5000 x2  4 Rh 2.08

---

2.
Density functional theory data (PBE-GGA) for a geometry-optimized Pm6DyHo4 structure.

## Properties
energy relative to the elements = 3.350 eV per formula unit
total moment = 0.00 μB per cell
energy = -4.370 eV/atom

abc: 6.6595 6.6595 17.0554
angles: 90.00 90.00 90.00
With the nearest neighbours (Å) after each atom.
Space group I-42m (No. 121)
One atom of each set of equivalent atoms:
Pm: 0.0000 0.5000 0.0000 x4  4 Ho 3.26, 2 Dy 3.33
Pm: 0.1893 0.1893 0.1763 x8  5 Ho 3.38-3.61, 1 Dy 3.50, 1 Pm 3.57
Dy: 0.0000 0.0000 0.0000 x2  8 Pm 3.33-3.50, 4 Ho 3.71
Ho: 0.1791 0.1791 0.3741 x8  7 Pm 3.26-3.61, 1 Ho 3.37

---

3.
Density functional theory data (PBE-GGA) for a geometry-optimized GaTc2Br structure.

## Properties
ΔE_f (raw) = 1.194 eV per atom
total moment = 0.00 μB per cell
energy relative to the lowest polymorph listed for this composition = 0.506 eV/atom
energy = -5.164 eV/atom

abc: 5.7285 5.7285 10.6210
angles: 90.00 90.00 90.00
With the nearest neighbours (Å) after each atom.
Space group I-42d (No. 122)
One atom of each set of equivalent atoms:
Ga: 0.0000 0.0000 0.0000 x4  4 Tc 2.46
Tc: 0.2390 0.2500 0.6250 x8  2 Br 2.39, 2 Ga 2.46
Br: 0.0000 0.0000 0.5000 x4  4 Tc 2.39

---

4.
Density functional theory data (PBE-GGA) for a geometry-optimized Dy7HoCd2 structure.

## Properties
energy relative to the elements = 4.148 eV per formula unit
total moment = 0.00 μB per cell
energy = -3.447 eV/atom

abc: 8.9229 15.7656 5.2229
angles: 90.00 90.00 90.00
With the nearest neighbours (Å) after each atom.
Space group Cmmm (No. 65)
One atom of each set of equivalent atoms:
Dy: 0.0000 0.0000 0.0000 x2  2 Cd 3.09, 4 Dy 3.38
Dy: 0.0000 0.2778 0.5000 x4  2 Cd 2.91
Dy: 0.1822 0.3837 0.0000 x8  2 Cd 3.10-3.37, 2 Dy 3.25-3.38
Ho: 0.0000 0.5000 0.5000 x2  10 Dy 3.50-3.58
Cd: 0.0000 0.1962 0.0000 x4  5 Dy 2.91-3.10

---

5.
Density functional theory data (PBE-GGA) for a geometry-optimized Ti2TeP2 structure.

## Properties
ΔE_f (raw) = -0.687 eV per atom
total moment = 0.00 μB per cell
energy relative to the lowest polymorph listed for this composition = 0.000 eV/atom
energy = -6.637 eV/atom

abc: 7.3190 7.3190 3.1870
angles: 90.00 90.00 90.00
With the nearest neighbours (Å) after each atom.
Space group P4/mbm (No. 127)
One atom of each set of equivalent atoms:
Ti: 0.1475 0.3525 0.0000 x4  6 P 2.59-2.79, 2 Te 2.80
Te: 0.0000 0.0000 0.0000 x2  4 Ti 2.80
P: 0.1308 0.6308 0.5000 x4  6 Ti 2.59-2.79, 1 P 2.71

---

6.
Density functional theory data (PBE-GGA) for a geometry-optimized La2BeFe structure.

## Properties
energy relative to the elements = 1.598 eV per formula unit
total moment = 7.25 μB per cell
energy = -5.111 eV/atom

abc: 6.8965 6.8965 6.8965
angles: 90.00 90.00 90.00
With the nearest neighbours (Å) after each atom.
Space group F-43m (No. 216)
One atom of each set of equivalent atoms:
La: 0.0000 0.0000 0.0000 x4  4 Fe 2.99, 4 La 2.99
La: 0.2500 0.2500 0.2500 x4  4 La 2.99, 4 Be 2.99
Be: 0.0000 0.0000 0.5000 x4  4 La 2.99, 4 Fe 2.99
Fe: 0.2500 0.2500 0.7500 x4  4 La 2.99, 4 Be 2.99

---

7.
Density functional theory data (PBE-GGA) for a geometry-optimized TlInSiH2 structure.

## Properties
total moment = 0.00 μB per cell
energy = -3.031 eV/atom

abc: 3.9778 3.9778 5.5912
angles: 90.00 90.00 90.00
With the nearest neighbours (Å) after each atom.
Space group P4/mmm (No. 123)
One atom of each set of equivalent atoms:
Tl: 0.0000 0.0000 0.0000 x1  4 Si 2.81
In: 0.5000 0.5000 0.5000 x1  4 H 1.99
Si: 0.5000 0.5000 0.0000 x1  2 In 2.80, 4 Tl 2.81
H: 0.0000 0.5000 0.5000 x2  2 In 1.99

---

8.
Density functional theory data (PBE-GGA) for a geometry-optimized KAu2Se2 structure.

## Properties
ΔE_f (raw) = -0.125 eV per atom
total moment = 0.00 μB per cell
energy relative to the lowest polymorph listed for this composition = 0.277 eV/atom
energy = -3.049 eV/atom

abc: 9.0342 9.0342 2.9589
angles: 90.00 90.00 90.00
With the nearest neighbours (Å) after each atom.
Space group P4/mbm (No. 127)
One atom of each set of equivalent atoms:
K: 0.0000 0.0000 0.0000 x2  2 K 2.96, 4 Se 3.22
Au: 0.1062 0.3938 0.5000 x4  2 Se 2.68, 3 Au 2.71-2.96
Se: 0.2189 0.7189 0.0000 x4  2 Au 2.68, 2 Se 2.96

---

9.
Density functional theory data (PBE-GGA) for a geometry-optimized BaNiSe2 structure.

## Properties
ΔE_f (raw) = -0.571 eV per atom
total moment = 2.97 μB per cell
energy = -4.240 eV/atom

abc: 3.6545 4.0490 13.8200
angles: 90.00 90.00 90.00
With the nearest neighbours (Å) after each atom.
Space group Imm2 (No. 44)
One atom of each set of equivalent atoms:
Ba: 0.0000 0.0000 0.0000 x2  6 Se 3.21-3.25
Ni: 0.0000 0.5000 0.7589 x2  2 Se 2.45
Se: 0.0000 0.0000 0.3770 x2  2 Ni 2.45
Se: 0.0000 0.5000 0.1839 x2  4 Ni 2.92, 2 Ba 3.25

---

10.
Density functional theory data (PBE-GGA) for a geometry-optimized VFePtRh structure.

## Properties
energy relative to the elements = -1.635 eV per formula unit
total moment = 1.73 μB per cell
energy relative to the lowest polymorph listed for this composition = 0.000 eV/atom
energy = -8.152 eV/atom

abc: 3.7215 3.8131 3.8802
angles: 90.00 90.00 90.00
With the nearest neighbours (Å) after each atom.
Space group Pmmm (No. 47)
One atom of each set of equivalent atoms:
V: 0.0000 0.0000 0.0000 x1  4 Rh 2.66, 4 Pt 2.69, 4 Fe 2.72
Fe: 0.0000 0.5000 0.5000 x1  4 Pt 2.66, 4 Rh 2.69, 4 V 2.72
Pt: 0.5000 0.0000 0.5000 x1  4 Fe 2.66, 4 V 2.69, 4 Rh 2.72
Rh: 0.5000 0.5000 0.0000 x1  4 V 2.66, 4 Fe 2.69, 4 Pt 2.72

---

11.
Density functional theory data (PBE-GGA) for a geometry-optimized TaBRu3 structure.

## Properties
energy relative to the elements = -1.020 eV per formula unit
total moment = 0.00 μB per cell
energy = -9.475 eV/atom

abc: 4.7452 5.5022 5.5132
angles: 106.40 101.48 90.24
With the nearest neighbours (Å) after each atom.
Space group P1 (No. 1)
One atom of each set of equivalent atoms:
Ta: 0.0000 0.0000 0.0000 x1  1 B 2.46, 4 Ru 2.60-2.73
Ta: 0.3441 0.8810 0.5452 x1  2 B 2.38-2.53, 3 Ru 2.62-2.65
B: 0.1194 0.2815 0.7539 x1  5 Ru 2.16-2.29
B: 0.6169 0.5963 0.2844 x1  4 Ru 2.09-2.23
Ru: 0.0166 0.5428 0.1251 x1  2 B 2.23-2.29
Ru: 0.3679 0.3511 0.4833 x1  2 B 2.19-2.40
Ru: 0.4734 0.7082 0.9483 x1  1 B 2.10
Ru: 0.5124 0.2349 0.0083 x1  2 B 2.12-2.16
Ru: 0.8172 0.0250 0.4228 x1  2 B 2.21-2.39
Ru: 0.9050 0.5821 0.6196 x1  2 B 2.09-2.17

---

12.
Density functional theory data (PBE-GGA) for a geometry-optimized Cs2Al2Ag structure.

## Properties
energy relative to the elements = 1.336 eV per formula unit
total moment = 0.00 μB per cell
energy relative to the lowest polymorph listed for this composition = 0.000 eV/atom
energy = -2.142 eV/atom

abc: 3.9816 3.9816 23.8095
angles: 90.00 90.00 90.00
With the nearest neighbours (Å) after each atom.
Space group I4/mmm (No. 139)
One atom of each set of equivalent atoms:
Cs: 0.0000 0.0000 0.1032 x4  4 Ag 3.74, 4 Cs 3.98, 4 Al 4.02
Al: 0.0000 0.5000 0.2500 x4  4 Al 2.82
Ag: 0.0000 0.0000 0.5000 x2  8 Cs 3.74, 4 Ag 3.98